The following is a DFT calculation (meta-GGA SCAN) of a PBEsol-optimized structure of BaP2HS.

Cell lengths 6.5712, 6.5712, 5.6458 Å; angles 90.00, 90.00, 90.00 degrees
Space group P4/mmm (No. 123)
Inequivalent atoms, fractional coordinates:
Ba (0.0000, 0.0000, 0.0000)
P (0.0000, 0.5000, 0.0000)
H (0.5000, 0.5000, 0.5000)
S (0.0000, 0.0000, 0.5000)

Its total energy is -66.904 eV for the cell shown.

=====

The following is a DFT calculation (meta-GGA SCAN) of a PBEsol-optimized structure of Ba2H2Pb.

Cell lengths 4.1049, 4.1049, 15.9583 Å; angles 90.00, 90.00, 90.00 degrees
Space group I4/mmm (No. 139)
Inequivalent atoms, fractional coordinates:
Ba (0.0000, 0.0000, 0.1512)
H (0.0000, 0.5000, 0.2500)
Pb (0.0000, 0.0000, 0.5000)

Its total energy is -329.806 eV for the cell shown.

=====

The following is a DFT calculation (meta-GGA SCAN) of a PBEsol-optimized structure of Ba3HPb.

Cell lengths 5.4917, 5.4917, 5.4917 Å; angles 90.00, 90.00, 90.00 degrees
Space group Pm-3m (No. 221)
Inequivalent atoms, fractional coordinates:
Ba (0.0000, 0.0000, 0.5000)
H (0.0000, 0.0000, 0.0000)
Pb (0.5000, 0.5000, 0.5000)

Its total energy is -200.484 eV for the cell shown.

=====

The following is a DFT calculation (meta-GGA SCAN) of a PBEsol-optimized structure of Ba2H4Pd.

Cell lengths 7.9488, 5.6775, 10.0490 Å; angles 90.00, 90.00, 90.00 degrees
Space group Pnma (No. 62)
Inequivalent atoms, fractional coordinates:
Ba (0.0131, 0.2500, 0.1672)
Ba (0.1481, 0.7500, 0.4037)
H (0.0237, 0.7500, 0.1141)
H (0.1694, 0.2500, 0.4200)
H (0.1794, 0.5086, 0.6563)
Pd (0.2418, 0.7500, 0.0813)

Its total energy is -520.253 eV for the cell shown.

=====

The following is a DFT calculation (meta-GGA SCAN) of a PBEsol-optimized structure of BaHPd2.

Cell lengths 8.2393, 8.2393, 8.2393 Å; angles 90.00, 90.00, 90.00 degrees
Space group Fd-3m (No. 227, origin choice 2)
Inequivalent atoms, fractional coordinates:
Ba (0.1250, 0.1250, 0.1250)
H (0.1250, 0.1250, 0.6250)
Pd (0.0000, 0.0000, 0.5000)

Its total energy is -884.615 eV for the cell shown.

=====

The following is a DFT calculation (meta-GGA SCAN) of a PBEsol-optimized structure of Ba2H2Pd.

Cell lengths 4.0550, 4.0550, 13.8584 Å; angles 90.00, 90.00, 90.00 degrees
Space group I4/mmm (No. 139)
Inequivalent atoms, fractional coordinates:
Ba (0.0000, 0.0000, 0.1341)
H (0.0000, 0.5000, 0.2500)
Pd (0.0000, 0.0000, 0.5000)

Its total energy is -242.616 eV for the cell shown.

=====

The following is a DFT calculation (meta-GGA SCAN) of a PBEsol-optimized structure of Ba2HPdPt.

Cell lengths 5.4775, 5.4775, 3.7651 Å; angles 90.00, 90.00, 90.00 degrees
Space group P4/mmm (No. 123)
Inequivalent atoms, fractional coordinates:
Ba (0.0000, 0.5000, 0.0000)
H (0.0000, 0.0000, 0.0000)
Pd (0.5000, 0.5000, 0.5000)
Pt (0.0000, 0.0000, 0.5000)

Its total energy is -188.572 eV for the cell shown.

=====

The following is a DFT calculation (meta-GGA SCAN) of a PBEsol-optimized structure of BaHPdS2.

Cell lengths 5.5957, 5.5957, 4.0558 Å; angles 90.00, 90.00, 90.00 degrees
Space group P4/mmm (No. 123)
Inequivalent atoms, fractional coordinates:
Ba (0.0000, 0.0000, 0.0000)
H (0.0000, 0.0000, 0.5000)
Pd (0.5000, 0.5000, 0.5000)
S (0.0000, 0.5000, 0.0000)

Its total energy is -91.630 eV for the cell shown.

=====

The following is a DFT calculation (meta-GGA SCAN) of a PBEsol-optimized structure of BaSbH2Pd.

Cell lengths 4.1544, 4.1544, 6.8216 Å; angles 90.00, 90.00, 90.00 degrees
Space group P4/mmm (No. 123)
Inequivalent atoms, fractional coordinates:
Ba (0.0000, 0.0000, 0.0000)
Sb (0.0000, 0.0000, 0.5000)
H (0.0000, 0.5000, 0.0000)
Pd (0.5000, 0.5000, 0.5000)

Its total energy is -113.910 eV for the cell shown.

=====

The following is a DFT calculation (meta-GGA SCAN) of a PBEsol-optimized structure of BaH3Pt.

Cell lengths 3.9252, 3.9252, 3.9252 Å; angles 90.00, 90.00, 90.00 degrees
Space group Pm-3m (No. 221)
Inequivalent atoms, fractional coordinates:
Ba (0.0000, 0.0000, 0.0000)
H (0.0000, 0.5000, 0.5000)
Pt (0.5000, 0.5000, 0.5000)

Its total energy is -122.919 eV for the cell shown.

=====

The following is a DFT calculation (meta-GGA SCAN) of a PBEsol-optimized structure of RbBa2H2.

Cell lengths 5.2207, 5.2207, 14.3766 Å; angles 90.00, 90.00, 90.00 degrees
Space group I4/mmm (No. 139)
Inequivalent atoms, fractional coordinates:
Rb (0.0000, 0.0000, 0.0000)
Ba (0.0000, 0.5000, 0.2500)
H (0.0000, 0.0000, 0.2035)

Its total energy is -214.518 eV for the cell shown.

=====

The following is a DFT calculation (meta-GGA SCAN) of a PBEsol-optimized structure of Rb2BaH2.

Cell lengths 5.1731, 5.1731, 13.8576 Å; angles 90.00, 90.00, 90.00 degrees
Space group I4/mmm (No. 139)
Inequivalent atoms, fractional coordinates:
Rb (0.0000, 0.0000, 0.1804)
Ba (0.0000, 0.0000, 0.5000)
H (0.0000, 0.5000, 0.2500)

Its total energy is -175.024 eV for the cell shown.